(1)
A plane-wave DFT calculation with PBE-GGA was carried out for an optimized crystal structure of TlCu8Se6.

The value obtained for the formation energy (no corrections) is -12.2 kJ/mol of atoms. As for the total magnetic moment: 0.00 μB/f.u.

It has space group R-3 (No. 148, hexagonal axes), with a = 6.9416 Å, b = 6.9416 Å, c = 23.7905 Å, α = 90.00°, β = 90.00° and γ = 120.00°. Symmetry generates all atoms from Tl at (0.0000, 0.0000, 0.0000), Cu at (0.0000, 0.0000, 0.4438), Cu at (0.0008, 0.6902, 0.8636) and Se at (0.0035, 0.6768, 0.7583).

(2)
A plane-wave DFT calculation with PBE-GGA was carried out for an optimized crystal structure of TeHPb.

As for the total magnetic moment: 0.00 μB/f.u. As for the total DFT energy (no corrections): -3.42 eV per atom.

It has space group Cm (No. 8), with a = 7.9952 Å, b = 4.5865 Å, c = 9.1103 Å, α = 90.00°, β = 104.80° and γ = 90.00°. Symmetry generates all atoms from Te at (0.0000, 0.0000, 0.0000), Te at (0.1664, 0.0000, 0.5382), H at (0.3858, 0.0000, 0.2830), H at (0.4553, 0.5000, 0.5405), Pb at (0.1237, 0.5000, 0.2752) and Pb at (0.1251, 0.5000, 0.8142).

(3)
A plane-wave DFT calculation with PBE-GGA was carried out for an optimized crystal structure of PrGe2Pd7.

The energy of formation from the pure elements comes out at -310 meV/atom. As for the total magnetic moment: 0.00 μB/f.u. The calculation puts the distance to the lowest polymorph of the same formula at 274 meV per atom.

It has space group Cmmm (No. 65), with a = 7.3729 Å, b = 12.1451 Å, c = 4.5931 Å, α = 90.00°, β = 90.00° and γ = 90.00°. Symmetry generates all atoms from Pr at (0.0000, 0.0000, 0.0000), Ge at (0.0000, 0.3024, 0.5000), Pd at (0.0000, 0.2376, 0.0000), Pd at (0.0000, 0.5000, 0.5000) and Pd at (0.1882, 0.1255, 0.5000).

(4)
A plane-wave DFT calculation with PBE-GGA was carried out for an optimized crystal structure of Y16Ho7Er6.

The energy of formation from the pure elements comes out at 251 meV/atom. As for the total magnetic moment: 0.04 μB/f.u.

It has space group Fm-3m (No. 225), with a = 15.7151 Å, b = 15.7151 Å, c = 15.7151 Å, α = 90.00°, β = 90.00° and γ = 90.00°. Symmetry generates all atoms from Y at (0.1226, 0.1226, 0.1226), Y at (0.1509, 0.1509, 0.3491), Ho at (0.0000, 0.0000, 0.0000), Ho at (0.0000, 0.2500, 0.2500) and Er at (0.0000, 0.0000, 0.2731).

(5)
A plane-wave DFT calculation with PBE-GGA was carried out for an optimized crystal structure of ThAs2Rh3.

The energy of formation from the pure elements comes out at -884 meV/atom. As for the total magnetic moment: 0.00 μB/f.u.

It has space group C2/m (No. 12), with a = 16.5701 Å, b = 4.0386 Å, c = 9.9878 Å, α = 90.00°, β = 108.12° and γ = 90.00°. Symmetry generates all atoms from Th at (0.0000, 0.0000, 0.0000), Th at (0.1560, 0.0000, 0.6940), As at (0.0393, 0.5000, 0.7788), As at (0.1370, 0.5000, 0.4478), As at (0.1971, 0.0000, 0.1286), Rh at (0.0000, 0.5000, 0.5000), Rh at (0.0431, 0.0000, 0.3337), Rh at (0.1186, 0.5000, 0.1949), Rh at (0.1794, 0.5000, 0.9581) and Rh at (0.2230, 0.0000, 0.3887).

(6)
A plane-wave DFT calculation with PBE-GGA was carried out for an optimized crystal structure of Ca4AcTl15.

The energy of formation from the pure elements comes out at -252 meV/atom. As for the total magnetic moment: 0.00 μB/f.u.

It has space group P4/mmm (No. 123), with a = 4.9005 Å, b = 4.9005 Å, c = 24.4628 Å, α = 90.00°, β = 90.00° and γ = 90.00°. Symmetry generates all atoms from Ca at (0.0000, 0.0000, 0.0997), Ca at (0.0000, 0.0000, 0.2973), Ac at (0.0000, 0.0000, 0.5000), Tl at (0.0000, 0.5000, 0.0000), Tl at (0.0000, 0.5000, 0.1982), Tl at (0.0000, 0.5000, 0.3951), Tl at (0.5000, 0.5000, 0.0990), Tl at (0.5000, 0.5000, 0.2969) and Tl at (0.5000, 0.5000, 0.5000).

(7)
A plane-wave DFT calculation with PBE-GGA was carried out for an optimized crystal structure of PmHo2ReO8.

The value obtained for the formation energy (no corrections) is -267.7 kJ/mol of atoms. As for the total magnetic moment: 0.00 μB/f.u.

It has space group Cmmm (No. 65), with a = 7.1438 Å, b = 7.1564 Å, c = 6.8238 Å, α = 90.00°, β = 90.00° and γ = 90.00°. Symmetry generates all atoms from Pm at (0.0000, 0.0000, 0.0000), Ho at (0.0000, 0.5000, 0.2485), Re at (0.0000, 0.0000, 0.5000), O at (0.0000, 0.2662, 0.5000), O at (0.0000, 0.3142, 0.0000) and O at (0.1840, 0.0000, 0.2973).

(8)
A plane-wave DFT calculation with PBE-GGA was carried out for an optimized crystal structure of YSiBi3.

The value obtained for the formation energy (no corrections) is 76.9 kJ/mol of atoms. As for the total magnetic moment: 0.00 μB/f.u. The calculation puts the distance to the lowest polymorph of the same formula at 475 meV per atom.

It has space group Pm-3m (No. 221), with a = 5.8439 Å, b = 5.8439 Å, c = 5.8439 Å, α = 90.00°, β = 90.00° and γ = 90.00°. Symmetry generates all atoms from Y at (0.0000, 0.0000, 0.0000), Si at (0.5000, 0.5000, 0.5000) and Bi at (0.0000, 0.0000, 0.5000).

(9)
A plane-wave DFT calculation with PBE-GGA was carried out for an optimized crystal structure of LaHoEr2Tl2.

The energy of formation from the pure elements comes out at -263 meV/atom. As for the total magnetic moment: 0.00 μB/f.u.

It has space group Pmc2_1 (No. 26), with a = 5.1594 Å, b = 10.1039 Å, c = 6.7951 Å, α = 90.00°, β = 90.00° and γ = 90.00°. Symmetry generates all atoms from La at (0.0000, 0.0422, 0.0000), Ho at (0.5000, 0.1973, 0.7259), Er at (0.0000, 0.3199, 0.3819), Er at (0.5000, 0.4562, 0.0958), Tl at (0.0000, 0.3696, 0.8439) and Tl at (0.5000, 0.1436, 0.2665).

(10)
A plane-wave DFT calculation with PBE-GGA was carried out for an optimized crystal structure of Ba4HgSbO.

The value obtained for the formation energy (no corrections) is -115.1 kJ/mol of atoms. As for the total magnetic moment: 0.00 μB/f.u.

It has space group Cmcm (No. 63), with a = 7.6542 Å, b = 18.4646 Å, c = 7.4775 Å, α = 90.00°, β = 90.00° and γ = 90.00°. Symmetry generates all atoms from Ba at (0.0000, 0.0698, 0.2500), Ba at (0.0000, 0.4159, 0.2500), Ba at (0.2500, 0.2500, 0.0000), Hg at (0.0000, 0.3847, 0.7500), Sb at (0.0000, 0.1165, 0.7500) and O at (0.0000, 0.2711, 0.2500).

(11)
A plane-wave DFT calculation with PBE-GGA was carried out for an optimized crystal structure of SrNbTlO4.

The value obtained for the formation energy (no corrections) is -222.0 kJ/mol of atoms. As for the total magnetic moment: 0.00 μB/f.u.

It has space group P2_1/m (No. 11), with a = 6.6804 Å, b = 6.3943 Å, c = 7.6216 Å, α = 90.00°, β = 100.50° and γ = 90.00°. Symmetry generates all atoms from Sr at (0.1856, 0.2500, 0.0814), Nb at (0.3028, 0.7500, 0.8597), Tl at (0.3017, 0.2500, 0.6171), O at (0.1189, 0.5220, 0.8443), O at (0.4792, 0.7500, 0.0795) and O at (0.4786, 0.7500, 0.6952).

(12)
A plane-wave DFT calculation with PBE-GGA was carried out for an optimized crystal structure of KMo4Ru.

The energy of formation from the pure elements comes out at 1043 meV/atom. As for the total magnetic moment: 0.00 μB/f.u.

It has space group F-43m (No. 216), with a = 7.5522 Å, b = 7.5522 Å, c = 7.5522 Å, α = 90.00°, β = 90.00° and γ = 90.00°. Symmetry generates all atoms from K at (0.0000, 0.0000, 0.0000), Mo at (0.1253, 0.1253, 0.6253) and Ru at (0.2500, 0.2500, 0.2500).

(13)
A plane-wave DFT calculation with PBE-GGA was carried out for an optimized crystal structure of AcYNi4.

The energy of formation from the pure elements comes out at -336 meV/atom. As for the total magnetic moment: 0.37 μB/f.u. The calculation puts the distance to the lowest polymorph of the same formula at 0 meV per atom.

It has space group Pmmm (No. 47), with a = 3.9888 Å, b = 4.1006 Å, c = 7.0275 Å, α = 90.00°, β = 90.00° and γ = 90.00°. Symmetry generates all atoms from Ac at (0.0000, 0.0000, 0.0000), Y at (0.0000, 0.5000, 0.5000), Ni at (0.5000, 0.0000, 0.3389) and Ni at (0.5000, 0.5000, 0.1756).

(14)
A plane-wave DFT calculation with PBE-GGA was carried out for an optimized crystal structure of Be2ZnOs.

The energy of formation from the pure elements comes out at -102 meV/atom. As for the total magnetic moment: 0.00 μB/f.u.

It has space group Imm2 (No. 44), with a = 3.2710 Å, b = 3.3122 Å, c = 8.1310 Å, α = 90.00°, β = 90.00° and γ = 90.00°. Symmetry generates all atoms from Be at (0.0000, 0.0000, 0.0000), Be at (0.0000, 0.5000, 0.2688), Zn at (0.0000, 0.5000, 0.7680) and Os at (0.0000, 0.0000, 0.5212).

(15)
A plane-wave DFT calculation with PBE-GGA was carried out for an optimized crystal structure of La3Nd2Dy7.

The energy of formation from the pure elements comes out at 91 meV/atom. As for the total magnetic moment: 0.00 μB/f.u.

It has space group P-1 (No. 2), with a = 3.6324 Å, b = 5.7989 Å, c = 19.4701 Å, α = 86.84°, β = 84.68° and γ = 90.00°. Symmetry generates all atoms from La at (0.0000, 0.0000, 0.0000), La at (0.3216, 0.2745, 0.3588), Nd at (0.1427, 0.2141, 0.7127), Dy at (0.0843, 0.6933, 0.8298), Dy at (0.2288, 0.2427, 0.5417), Dy at (0.4304, 0.8104, 0.1403) and Dy at (0.5000, 0.5000, 0.0000).

(16)
A plane-wave DFT calculation with PBE-GGA was carried out for an optimized crystal structure of Nb3Pt2C.

The energy of formation from the pure elements comes out at -534 meV/atom. As for the total magnetic moment: 0.00 μB/f.u.

It has space group P4_132 (No. 213), with a = 7.1201 Å, b = 7.1201 Å, c = 7.1201 Å, α = 90.00°, β = 90.00° and γ = 90.00°. Symmetry generates all atoms from Nb at (0.0485, 0.1250, 0.7985), Pt at (0.0618, 0.9382, 0.4382) and C at (0.1250, 0.3750, 0.6250).

(17)
A plane-wave DFT calculation with PBE-GGA was carried out for an optimized crystal structure of Pr6YMg.

The energy of formation from the pure elements comes out at 14 meV/atom. As for the total magnetic moment: 0.00 μB/f.u.

It has space group P-1 (No. 2), with a = 6.8074 Å, b = 6.8166 Å, c = 6.8905 Å, α = 95.33°, β = 95.15° and γ = 118.83°. Symmetry generates all atoms from Pr at (0.0986, 0.1575, 0.2394), Pr at (0.2502, 0.7509, 0.4503), Pr at (0.3428, 0.4019, 0.7596), Y at (0.5000, 0.0000, 0.0000) and Mg at (0.0000, 0.5000, 0.0000).

(18)
A plane-wave DFT calculation with PBE-GGA was carried out for an optimized crystal structure of LaGa2CoSn.

The energy of formation from the pure elements comes out at -351 meV/atom. As for the total magnetic moment: 0.00 μB/f.u.

It has space group P4/mmm (No. 123), with a = 4.6637 Å, b = 4.6637 Å, c = 4.9370 Å, α = 90.00°, β = 90.00° and γ = 90.00°. Symmetry generates all atoms from La at (0.0000, 0.0000, 0.0000), Ga at (0.0000, 0.5000, 0.5000), Co at (0.5000, 0.5000, 0.5000) and Sn at (0.5000, 0.5000, 0.0000).

(19)
A plane-wave DFT calculation with PBE-GGA was carried out for an optimized crystal structure of CaLaNb2Se.

The value obtained for the formation energy (no corrections) is 114.3 kJ/mol of atoms. As for the total magnetic moment: 0.00 μB/f.u.

It has space group P4/mmm (No. 123), with a = 4.9097 Å, b = 4.9097 Å, c = 5.4463 Å, α = 90.00°, β = 90.00° and γ = 90.00°. Symmetry generates all atoms from Ca at (0.0000, 0.0000, 0.0000), La at (0.5000, 0.5000, 0.5000), Nb at (0.0000, 0.5000, 0.0000) and Se at (0.0000, 0.0000, 0.5000).

(20)
A plane-wave DFT calculation with PBE-GGA was carried out for an optimized crystal structure of SiPtSe2.

The value obtained for the formation energy (no corrections) is -24.7 kJ/mol of atoms. As for the total magnetic moment: 0.00 μB/f.u.

It has space group Pm (No. 6), with a = 4.5961 Å, b = 3.6624 Å, c = 5.8821 Å, α = 90.00°, β = 93.56° and γ = 90.00°. Symmetry generates all atoms from Si at (0.0000, 0.0000, 0.0000), Pt at (0.3156, 0.5000, 0.9465), Se at (0.6059, 0.0000, 0.7378) and Se at (0.9877, 0.5000, 0.2742).

(21)
A plane-wave DFT calculation with PBE-GGA was carried out for an optimized crystal structure of Sm5YSc4.

The energy of formation from the pure elements comes out at 334 meV/atom. As for the total magnetic moment: 0.00 μB/f.u. The calculation puts the distance to the lowest polymorph of the same formula at 288 meV per atom.

It has space group I4 (No. 79), with a = 9.9110 Å, b = 9.9110 Å, c = 6.1965 Å, α = 90.00°, β = 90.00° and γ = 90.00°. Symmetry generates all atoms from Sm at (0.0000, 0.0000, 0.0000), Sm at (0.1493, 0.7509, 0.2679), Y at (0.0000, 0.0000, 0.5414) and Sc at (0.0580, 0.6402, 0.7672).